Record 1
## KLiAlI5 (PBE)

Data for a relaxed KLiAlI5 crystal.

Geometry as CIF:
```
data_KLiAlI5
_space_group_name_H-M_alt 'C 1 2/c 1'
_space_group_IT_number 15
_cell_length_a 10.778
_cell_length_b 13.471
_cell_length_c 10.143
_cell_angle_alpha 90.00
_cell_angle_beta 111.37
_cell_angle_gamma 90.00
loop_
_space_group_symop_operation_xyz
'x,y,z'
'-x,-y,-z'
'-x,y,-z+1/2'
'x,-y,z+1/2'
'x+1/2,y+1/2,z'
'-x+1/2,-y+1/2,-z'
'-x+1/2,y+1/2,-z+1/2'
'x+1/2,-y+1/2,z+1/2'
loop_
_atom_site_label
_atom_site_type_symbol
_atom_site_fract_x
_atom_site_fract_y
_atom_site_fract_z
K1 K 0.000 0.172 0.250
Li1 Li 0.000 0.500 0.000
Al1 Al 0.000 0.164 0.750
I1 I 0.000 0.431 0.250
I2 I 0.118 0.274 0.624
I3 I 0.170 0.055 0.940
```

Output
The calculation puts the total energy at -2.810 eV/atom. The density of states at the Fermi level comes out at 0.00 states/eV/cell.

Record 2
## KAl2MoI (PBE)

Data for a relaxed KAl2MoI crystal.

Geometry as CIF:
```
data_KAl2MoI
_space_group_name_H-M_alt 'P 4/m m m'
_space_group_IT_number 123
_space_group_name_Hall '-P 4 2'
_cell_length_a 5.018
_cell_length_b 5.018
_cell_length_c 5.643
_cell_angle_alpha 90.00
_cell_angle_beta 90.00
_cell_angle_gamma 90.00
loop_
_atom_site_label
_atom_site_type_symbol
_atom_site_fract_x
_atom_site_fract_y
_atom_site_fract_z
K1 K 0.000 0.000 0.000
Al1 Al 0.000 0.500 0.500
Mo1 Mo 0.500 0.500 0.500
I1 I 0.500 0.500 0.000
```

Output
The calculation puts the total energy at -3.916 eV/atom. The density of states at the Fermi level comes out at 5.34 states/eV/cell.

Record 3
## KAlIN2 (PBE)

Data for a relaxed KAlIN2 crystal.

Geometry as CIF:
```
data_KAlIN2
_space_group_name_H-M_alt 'P 4/m m m'
_space_group_IT_number 123
_space_group_name_Hall '-P 4 2'
_cell_length_a 4.214
_cell_length_b 4.214
_cell_length_c 5.847
_cell_angle_alpha 90.00
_cell_angle_beta 90.00
_cell_angle_gamma 90.00
loop_
_atom_site_label
_atom_site_type_symbol
_atom_site_fract_x
_atom_site_fract_y
_atom_site_fract_z
K1 K 0.000 0.000 0.000
Al1 Al 0.500 0.500 0.500
I1 I 0.500 0.500 0.000
N1 N 0.000 0.500 0.500
```

Output
The calculation puts the total energy at -4.065 eV/atom. The density of states at the Fermi level comes out at 1.86 states/eV/cell. The calculation puts the energy above the lowest structure with this stoichiometry at 0 meV per atom.